[1]
The following is a DFT calculation (PBE-GGA) of a relaxed structure of AlTlFe.

Unit cell a=4.440 b=4.440 c=4.440 alpha=60.00 beta=60.00 gamma=60.00
Positions (direct):
Al 0.000 0.000 0.000
Tl 0.250 0.250 0.250
Fe 0.500 0.500 0.500

Calculated values
E_tot: -4.024 eV per atom

=====

[2]
The following is a DFT calculation (PBE-GGA) of a relaxed structure of Tm2Al2Fe15.

Unit cell a=8.278 b=8.278 c=8.327 alpha=90.00 beta=90.00 gamma=120.00
Positions (direct):
Tm 0.000 0.000 0.250
Tm 0.000 0.000 0.750
Tm 0.333 0.667 0.250
Tm 0.667 0.333 0.750
Al 0.333 0.667 0.600
Al 0.333 0.667 0.900
Al 0.667 0.333 0.100
Al 0.667 0.333 0.400
Fe 0.000 0.500 0.000
Fe 0.000 0.500 0.500
Fe 0.031 0.362 0.750
Fe 0.031 0.669 0.750
Fe 0.165 0.330 0.012
Fe 0.165 0.330 0.488
Fe 0.165 0.835 0.012
Fe 0.165 0.835 0.488
Fe 0.330 0.165 0.512
Fe 0.330 0.165 0.988
Fe 0.331 0.362 0.750
Fe 0.331 0.969 0.750
Fe 0.362 0.031 0.250
Fe 0.362 0.331 0.250
Fe 0.500 0.000 0.000
Fe 0.500 0.000 0.500
Fe 0.500 0.500 0.000
Fe 0.500 0.500 0.500
Fe 0.638 0.669 0.750
Fe 0.638 0.969 0.750
Fe 0.669 0.031 0.250
Fe 0.669 0.638 0.250
Fe 0.670 0.835 0.012
Fe 0.670 0.835 0.488
Fe 0.835 0.165 0.512
Fe 0.835 0.165 0.988
Fe 0.835 0.670 0.512
Fe 0.835 0.670 0.988
Fe 0.969 0.331 0.250
Fe 0.969 0.638 0.250

Calculated values
E_tot: -7.528 eV per atom

=====

Q: Which of these has the lowest E_tot?
A: Tm2Al2Fe15

=====

What did the first record say?
The following is a DFT calculation (PBE-GGA) of a relaxed structure of AlTlFe.

Unit cell a=4.440 b=4.440 c=4.440 alpha=60.00 beta=60.00 gamma=60.00
Positions (direct):
Al 0.000 0.000 0.000
Tl 0.250 0.250 0.250
Fe 0.500 0.500 0.500

Calculated values
E_tot: -4.024 eV per atom